Computed, not measured: crystalline RbIrO3 at its relaxed geometry at the PBE level of DFT.

Unit cell a=6.3453 b=6.3453 c=6.3453 alpha=63.54 beta=63.54 gamma=63.54
Fractional positions:
Rb 0.0000 0.0000 0.0000
Rb 0.5000 0.5000 0.5000
Ir 0.2500 0.2500 0.2500
Ir 0.7500 0.7500 0.7500
O 0.0145 0.7500 0.4855
O 0.2500 0.5145 0.9855
O 0.4855 0.0145 0.7500
O 0.5145 0.9855 0.2500
O 0.7500 0.4855 0.0145
O 0.9855 0.2500 0.5145

Electronic total energy, eV per atom: -5.81

---

Computed, not measured: crystalline Rb3IrO3 at its relaxed geometry at the PBE level of DFT.

Unit cell a=6.9131 b=6.9131 c=6.6619 alpha=99.20 beta=99.20 gamma=100.73
Fractional positions:
Rb 0.1645 0.8355 0.0000
Rb 0.2375 0.7625 0.5000
Rb 0.3733 0.3733 0.1525
Rb 0.6267 0.6267 0.8475
Rb 0.7625 0.2375 0.5000
Rb 0.8355 0.1645 0.0000
Ir 0.2571 0.2571 0.6163
Ir 0.7429 0.7429 0.3837
O 0.1394 0.1394 0.3409
O 0.1623 0.4602 0.7664
O 0.4602 0.1623 0.7664
O 0.5398 0.8377 0.2336
O 0.8377 0.5398 0.2336
O 0.8606 0.8606 0.6591

Electronic total energy, eV per atom: -4.77

---

Computed, not measured: crystalline Rb2Ir2O5 at its relaxed geometry at the PBE level of DFT.

Unit cell a=3.3109 b=3.3109 c=12.0550 alpha=90.00 beta=90.00 gamma=90.00
Fractional positions:
Rb 0.0000 0.0000 0.2256
Rb 0.0000 0.0000 0.7744
Ir 0.5000 0.5000 0.0000
Ir 0.5000 0.5000 0.5000
O 0.0000 0.0000 0.0000
O 0.0000 0.5000 0.4035
O 0.0000 0.5000 0.5965
O 0.5000 0.0000 0.4035
O 0.5000 0.0000 0.5965

Electronic total energy, eV per atom: -5.10

---

Computed, not measured: crystalline Rb3IrO6 at its relaxed geometry at the PBE level of DFT.

Unit cell a=6.3559 b=6.3559 c=6.3559 alpha=60.00 beta=60.00 gamma=60.00
Fractional positions:
Rb 0.0000 0.0000 0.0000
Rb 0.2500 0.2500 0.2500
Rb 0.7500 0.7500 0.7500
Ir 0.5000 0.5000 0.5000
O 0.2933 0.2933 0.7067
O 0.2933 0.7067 0.2933
O 0.2933 0.7067 0.7067
O 0.7067 0.2933 0.2933
O 0.7067 0.2933 0.7067
O 0.7067 0.7067 0.2933

Electronic total energy, eV per atom: -5.11

---

Computed, not measured: crystalline Rb4IrO6 at its relaxed geometry at the PBE level of DFT.

Unit cell a=7.4454 b=7.4454 c=7.4454 alpha=88.09 beta=88.09 gamma=88.09
Fractional positions:
Rb 0.1057 0.7500 0.3943
Rb 0.2500 0.2500 0.2500
Rb 0.2500 0.6057 0.8943
Rb 0.3943 0.1057 0.7500
Rb 0.6057 0.8943 0.2500
Rb 0.7500 0.3943 0.1057
Rb 0.7500 0.7500 0.7500
Rb 0.8943 0.2500 0.6057
Ir 0.0000 0.0000 0.0000
Ir 0.5000 0.5000 0.5000
O 0.0584 0.9337 0.7592
O 0.0663 0.2408 0.9416
O 0.2408 0.9416 0.0663
O 0.2592 0.4337 0.5584
O 0.4337 0.5584 0.2592
O 0.4416 0.7408 0.5663
O 0.5584 0.2592 0.4337
O 0.5663 0.4416 0.7408
O 0.7408 0.5663 0.4416
O 0.7592 0.0584 0.9337
O 0.9337 0.7592 0.0584
O 0.9416 0.0663 0.2408

Electronic total energy, eV per atom: -4.97

---

Computed, not measured: crystalline Rb2Ir2O5 at its relaxed geometry at the PBE level of DFT.

Unit cell a=3.8626 b=3.8626 c=9.0001 alpha=90.00 beta=90.00 gamma=90.00
Fractional positions:
Rb 0.0000 0.0000 0.0000
Rb 0.0000 0.0000 0.5000
Ir 0.5000 0.5000 0.2366
Ir 0.5000 0.5000 0.7634
O 0.0000 0.5000 0.2575
O 0.0000 0.5000 0.7425
O 0.5000 0.0000 0.2575
O 0.5000 0.0000 0.7425
O 0.5000 0.5000 0.0000

Electronic total energy, eV per atom: -5.72

---

Computed, not measured: crystalline RbIrO3 at its relaxed geometry at the PBE level of DFT.

Unit cell a=5.6321 b=7.9476 c=5.6330 alpha=90.00 beta=90.00 gamma=90.00
Fractional positions:
Rb 0.0007 0.2500 0.0000
Rb 0.4993 0.7500 0.5000
Rb 0.5007 0.2500 0.5000
Rb 0.9993 0.7500 0.0000
Ir 0.0000 0.0000 0.5000
Ir 0.0000 0.5000 0.5000
Ir 0.5000 0.0000 0.0000
Ir 0.5000 0.5000 0.0000
O 0.0005 0.2500 0.4889
O 0.2431 0.5053 0.2431
O 0.2431 0.9947 0.2431
O 0.2569 0.0053 0.7431
O 0.2569 0.4947 0.7431
O 0.4995 0.7500 0.9889
O 0.5005 0.2500 0.0111
O 0.7431 0.5053 0.2569
O 0.7431 0.9947 0.2569
O 0.7569 0.0053 0.7569
O 0.7569 0.4947 0.7569
O 0.9995 0.7500 0.5111

Electronic total energy, eV per atom: -5.71

---

Computed, not measured: crystalline RbIrSO at its relaxed geometry at the PBE level of DFT.

Unit cell a=4.1366 b=6.9746 c=6.8006 alpha=90.00 beta=90.00 gamma=90.00
Fractional positions:
Rb 0.0000 0.1730 0.0000
Rb 0.0000 0.8270 0.5000
Ir 0.5000 0.4275 0.4331
Ir 0.5000 0.5725 0.9331
S 0.0000 0.3018 0.4966
S 0.0000 0.6982 0.9966
O 0.5000 0.3898 0.1481
O 0.5000 0.6102 0.6481

Electronic total energy, eV per atom: -5.31

---

Computed, not measured: crystalline RbIrSO at its relaxed geometry at the PBE level of DFT.

Unit cell a=4.3083 b=4.3083 c=9.6599 alpha=90.00 beta=90.00 gamma=90.00
Fractional positions:
Rb 0.2500 0.7500 0.0000
Rb 0.7500 0.2500 0.0000
Ir 0.2500 0.2500 0.4546
Ir 0.7500 0.7500 0.5454
S 0.2500 0.2500 0.2246
S 0.7500 0.7500 0.7754
O 0.2500 0.7500 0.5000
O 0.7500 0.2500 0.5000

Electronic total energy, eV per atom: -4.56

---

Computed, not measured: crystalline RbIrSO at its relaxed geometry at the PBE level of DFT.

Unit cell a=6.5440 b=5.9325 c=10.5995 alpha=90.00 beta=104.08 gamma=90.00
Fractional positions:
Rb 0.1185 0.0000 0.1126
Rb 0.2215 0.2774 0.4476
Rb 0.7785 0.7774 0.5524
Rb 0.8815 0.5000 0.8874
Ir 0.3261 0.4998 0.7902
Ir 0.4978 0.5339 0.0375
Ir 0.5022 0.0339 0.9625
Ir 0.6739 0.9998 0.2098
S 0.3163 0.7336 0.6232
S 0.4634 0.1662 0.7562
S 0.5366 0.6662 0.2438
S 0.6837 0.2336 0.3768
O 0.2800 0.2999 0.9524
O 0.3042 0.7647 0.9238
O 0.6958 0.2647 0.0762
O 0.7200 0.7999 0.0476

Electronic total energy, eV per atom: -5.32

---

Computed, not measured: crystalline RbIrSO at its relaxed geometry at the PBE level of DFT.

Unit cell a=6.9036 b=5.4104 c=9.3834 alpha=90.00 beta=106.50 gamma=90.00
Fractional positions:
Rb 0.1568 0.1779 0.4460
Rb 0.1568 0.3221 0.9460
Rb 0.8432 0.6779 0.0540
Rb 0.8432 0.8221 0.5540
Ir 0.4651 0.6102 0.7095
Ir 0.4651 0.8898 0.2095
Ir 0.5349 0.1102 0.7905
Ir 0.5349 0.3898 0.2905
S 0.2934 0.6390 0.3265
S 0.2934 0.8610 0.8265
S 0.7066 0.1390 0.1735
S 0.7066 0.3610 0.6735
O 0.2577 0.6824 0.4934
O 0.2577 0.8176 0.9934
O 0.7423 0.1824 0.0066
O 0.7423 0.3176 0.5066

Electronic total energy, eV per atom: -5.16

---

Computed, not measured: crystalline RbIrSO at its relaxed geometry at the PBE level of DFT.

Unit cell a=6.4296 b=8.9507 c=5.7249 alpha=90.00 beta=90.00 gamma=90.00
Fractional positions:
Rb 0.0678 0.1499 0.0000
Rb 0.4322 0.1499 0.5000
Rb 0.5678 0.8501 0.0000
Rb 0.9322 0.8501 0.5000
Ir 0.1145 0.6329 0.0019
Ir 0.3855 0.6329 0.5019
Ir 0.6145 0.3671 0.0019
Ir 0.8855 0.3671 0.5019
S 0.1553 0.4768 0.6913
S 0.3447 0.4768 0.1913
S 0.6553 0.5232 0.6913
S 0.8447 0.5232 0.1913
O 0.0509 0.8388 0.9839
O 0.4491 0.8388 0.4839
O 0.5509 0.1612 0.9839
O 0.9491 0.1612 0.4839

Electronic total energy, eV per atom: -5.42

---

Look up the electronic total energy of the twelfth one. -5.42 eV per atom